[1]
# PBE RbGe5Pt3, relaxed
data_RbGe5Pt3
_chemical_formula_sum 'Rb1 Ge5 Pt3'
_space_group_name_H-M_alt 'P 6/m m m'
_space_group_IT_number 191
_space_group_name_Hall '-P 6 2'
_cell_length_a 5.4958
_cell_length_b 5.4958
_cell_length_c 8.3881
_cell_angle_alpha 90.00
_cell_angle_beta 90.00
_cell_angle_gamma 120.00
loop_
_atom_site_label
_atom_site_fract_x
_atom_site_fract_y
_atom_site_fract_z
Rb1 0.0000 0.0000 0.0000
Ge1 0.0000 0.0000 0.5000
Ge2 0.3333 0.6667 0.2457
Pt1 0.0000 0.5000 0.5000
# Electronic total energy   -42.87 eV/f.u.
# ρ   7.8 g cm⁻³
# Spin magnetization   0.0021 μB per atom

***

[2]
# PBE LiPaAsO, relaxed
data_LiPaAsO
_chemical_formula_sum 'Li2 Pa2 As2 O2'
_space_group_name_H-M_alt 'P m c 21'
_space_group_IT_number 26
_cell_length_a 4.4266
_cell_length_b 6.0327
_cell_length_c 5.8644
_cell_angle_alpha 90.00
_cell_angle_beta 90.00
_cell_angle_gamma 90.00
loop_
_space_group_symop_operation_xyz
'x,y,z'
'-x,-y,z+1/2'
'-x,y,z'
'x,-y,z+1/2'
loop_
_atom_site_label
_atom_site_fract_x
_atom_site_fract_y
_atom_site_fract_z
Li1 0.0000 0.1102 0.0000
Pa1 0.5000 0.2543 0.3661
As1 0.5000 0.2562 0.8651
O1 0.0000 0.1861 0.3404
# ρ   7.0 g cm⁻³
# Distance to the lowest polymorph of the same formula   0.35 eV per formula unit
# Spin magnetization   0.2474 μB per atom

***

[3]
# PBE Th2BiPt2, relaxed
data_Th2BiPt2
_chemical_formula_sum 'Th4 Bi2 Pt4'
_space_group_name_H-M_alt 'P 4/m b m'
_space_group_IT_number 127
_space_group_name_Hall '-P 4 2ab'
_cell_length_a 7.9570
_cell_length_b 7.9570
_cell_length_c 3.9480
_cell_angle_alpha 90.00
_cell_angle_beta 90.00
_cell_angle_gamma 90.00
loop_
_atom_site_label
_atom_site_fract_x
_atom_site_fract_y
_atom_site_fract_z
Th1 0.1718 0.3282 0.0000
Bi1 0.0000 0.0000 0.5000
Pt1 0.1265 0.6265 0.5000
# Electronic total energy   -36.45 eV/f.u.
# ρ   14.1 g cm⁻³
# Spin magnetization   0.0015 μB per atom

***

[4]
# PBE La2Sm2BrNCl4, relaxed
data_La2Sm2BrNCl4
_chemical_formula_sum 'La4 Sm4 Br2 N2 Cl8'
_space_group_name_H-M_alt 'C 1 2/m 1'
_space_group_IT_number 12
_cell_length_a 17.5817
_cell_length_b 3.8415
_cell_length_c 8.1875
_cell_angle_alpha 90.00
_cell_angle_beta 105.94
_cell_angle_gamma 90.00
loop_
_space_group_symop_operation_xyz
'x,y,z'
'-x,-y,-z'
'-x,y,-z'
'x,-y,z'
'x+1/2,y+1/2,z'
'-x+1/2,-y+1/2,-z'
'-x+1/2,y+1/2,-z'
'x+1/2,-y+1/2,z'
loop_
_atom_site_label
_atom_site_fract_x
_atom_site_fract_y
_atom_site_fract_z
La1 0.1476 0.0000 0.0892
Sm1 0.0010 0.5000 0.7981
Br1 0.0000 0.0000 0.5000
N1 0.0000 0.0000 0.0000
Cl1 0.1616 0.5000 0.3555
Cl2 0.1675 0.5000 0.8332
# Electronic total energy   -55.31 eV/f.u.
# ρ   5.1 g cm⁻³
# Spin magnetization   0.0002 μB per atom

***

[5]
# PBE SmYPt4, relaxed
data_SmYPt4
_chemical_formula_sum 'Sm4 Y4 Pt16'
_space_group_name_H-M_alt 'F -4 3 m'
_space_group_IT_number 216
_space_group_name_Hall 'F -4 2 3'
_cell_length_a 7.7111
_cell_length_b 7.7111
_cell_length_c 7.7111
_cell_angle_alpha 90.00
_cell_angle_beta 90.00
_cell_angle_gamma 90.00
loop_
_atom_site_label
_atom_site_fract_x
_atom_site_fract_y
_atom_site_fract_z
Sm1 0.0000 0.0000 0.0000
Y1 0.2500 0.2500 0.2500
Pt1 0.1248 0.1248 0.6248
# Electronic total energy   -41.89 eV/f.u.
# ρ   14.8 g cm⁻³
# Spin magnetization   0.0002 μB per atom

***

[6]
# PBE RbAcMo, relaxed
data_RbAcMo
_chemical_formula_sum 'Rb4 Ac4 Mo4'
_space_group_name_H-M_alt 'F -4 3 m'
_space_group_IT_number 216
_space_group_name_Hall 'F -4 2 3'
_cell_length_a 7.8092
_cell_length_b 7.8092
_cell_length_c 7.8092
_cell_angle_alpha 90.00
_cell_angle_beta 90.00
_cell_angle_gamma 90.00
loop_
_atom_site_label
_atom_site_fract_x
_atom_site_fract_y
_atom_site_fract_z
Rb1 0.0000 0.0000 0.0000
Ac1 0.0000 0.0000 0.5000
Mo1 0.2500 0.2500 0.7500
# ρ   5.7 g cm⁻³
# Distance to the lowest polymorph of the same formula   0.00 eV per formula unit
# Spin magnetization   0.8382 μB per atom

***

[7]
# PBE Fe5C2, relaxed
data_Fe5C2
_chemical_formula_sum 'Fe20 C8'
_space_group_name_H-M_alt 'P -1'
_space_group_IT_number 2
_cell_length_a 4.5049
_cell_length_b 4.9868
_cell_length_c 11.5618
_cell_angle_alpha 97.62
_cell_angle_beta 90.19
_cell_angle_gamma 90.01
loop_
_space_group_symop_operation_xyz
'x,y,z'
'-x,-y,-z'
loop_
_atom_site_label
_atom_site_fract_x
_atom_site_fract_y
_atom_site_fract_z
Fe1 0.1639 0.0828 0.1517
Fe2 0.1636 0.4177 0.3477
Fe3 0.1684 0.1892 0.5352
Fe4 0.1678 0.3104 0.9643
Fe5 0.1849 0.2490 0.7498
Fe6 0.3222 0.7496 0.7499
Fe7 0.3311 0.5832 0.1521
Fe8 0.3310 0.9179 0.3480
Fe9 0.3323 0.6886 0.5353
Fe10 0.3322 0.8105 0.9647
C1 0.0664 0.5781 0.8621
C2 0.0665 0.9206 0.6366
C3 0.4385 0.0793 0.8640
C4 0.4388 0.4202 0.6367
# Electronic total energy   -59.63 eV/f.u.
# ρ   7.8 g cm⁻³
# Spin magnetization   1.1984 μB per atom

***

[8]
# PBE NpTl2F6, relaxed
data_NpTl2F6
_chemical_formula_sum 'Np2 Tl4 F12'
_space_group_name_H-M_alt 'P 42/m n m'
_space_group_IT_number 136
_space_group_name_Hall '-P 4n 2n'
_cell_length_a 5.5939
_cell_length_b 5.5939
_cell_length_c 12.0583
_cell_angle_alpha 90.00
_cell_angle_beta 90.00
_cell_angle_gamma 90.00
loop_
_atom_site_label
_atom_site_fract_x
_atom_site_fract_y
_atom_site_fract_z
Np1 0.0000 0.0000 0.0000
Tl1 0.0000 0.0000 0.3309
F1 0.1804 0.1804 0.1336
F2 0.2258 0.2258 0.5000
# Electronic total energy   -53.53 eV/f.u.
# ρ   6.7 g cm⁻³
# Spin magnetization   0.3333 μB per atom

***

[9]
# PBE Rb2CuTcCl6, relaxed
data_Rb2CuTcCl6
_chemical_formula_sum 'Rb8 Cu4 Tc4 Cl24'
_space_group_name_H-M_alt 'F m -3 m'
_space_group_IT_number 225
_space_group_name_Hall '-F 4 2 3'
_cell_length_a 9.8883
_cell_length_b 9.8883
_cell_length_c 9.8883
_cell_angle_alpha 90.00
_cell_angle_beta 90.00
_cell_angle_gamma 90.00
loop_
_atom_site_label
_atom_site_fract_x
_atom_site_fract_y
_atom_site_fract_z
Rb1 0.2500 0.2500 0.2500
Cu1 0.0000 0.0000 0.0000
Tc1 0.0000 0.0000 0.5000
Cl1 0.0000 0.0000 0.2540
# Electronic total energy   -37.86 eV/f.u.
# ρ   3.7 g cm⁻³
# Spin magnetization   0.2177 μB per atom

***

[10]
# PBE Sc2Cd2Pb3, relaxed
data_Sc2Cd2Pb3
_chemical_formula_sum 'Sc6 Cd6 Pb9'
_space_group_name_H-M_alt 'R 3 m'
_space_group_IT_number 160
_space_group_name_Hall 'R 3 -2"'
_cell_length_a 5.0964
_cell_length_b 5.0964
_cell_length_c 24.2421
_cell_angle_alpha 90.00
_cell_angle_beta 90.00
_cell_angle_gamma 120.00
loop_
_atom_site_label
_atom_site_fract_x
_atom_site_fract_y
_atom_site_fract_z
Sc1 0.0000 0.0000 0.0000
Sc2 0.0000 0.0000 0.4376
Cd1 0.0000 0.0000 0.1267
Cd2 0.0000 0.0000 0.7197
Pb1 0.0000 0.0000 0.3069
Pb2 0.0000 0.0000 0.5757
Pb3 0.0000 0.0000 0.8508
# Electronic total energy   -26.29 eV/f.u.
# ρ   8.6 g cm⁻³
# Spin magnetization   0.0021 μB per atom

***

[11]
# PBE PrZr, relaxed
data_PrZr
_chemical_formula_sum 'Pr4 Zr4'
_space_group_name_H-M_alt 'P n m a'
_space_group_IT_number 62
_cell_length_a 5.9737
_cell_length_b 5.5416
_cell_length_c 6.9328
_cell_angle_alpha 90.00
_cell_angle_beta 90.00
_cell_angle_gamma 90.00
loop_
_space_group_symop_operation_xyz
'x,y,z'
'-x,-y,-z'
'-x+1/2,-y,z+1/2'
'x+1/2,y,-z+1/2'
'x+1/2,-y+1/2,-z+1/2'
'-x+1/2,y+1/2,z+1/2'
'-x,y+1/2,-z'
'x,-y+1/2,z'
loop_
_atom_site_label
_atom_site_fract_x
_atom_site_fract_y
_atom_site_fract_z
Pr1 0.0839 0.2500 0.1285
Zr1 0.0545 0.2500 0.6208
# ρ   6.7 g cm⁻³
# Distance to the lowest polymorph of the same formula   0.21 eV per formula unit
# Spin magnetization   0.0038 μB per atom

***

[12]
# PBE Hf2AgSb, relaxed
data_Hf2AgSb
_chemical_formula_sum 'Hf8 Ag4 Sb4'
_space_group_name_H-M_alt 'F -4 3 m'
_space_group_IT_number 216
_space_group_name_Hall 'F -4 2 3'
_cell_length_a 7.0014
_cell_length_b 7.0014
_cell_length_c 7.0014
_cell_angle_alpha 90.00
_cell_angle_beta 90.00
_cell_angle_gamma 90.00
loop_
_atom_site_label
_atom_site_fract_x
_atom_site_fract_y
_atom_site_fract_z
Hf1 0.0000 0.0000 0.0000
Hf2 0.2500 0.2500 0.2500
Ag1 0.2500 0.2500 0.7500
Sb1 0.0000 0.0000 0.5000
# Electronic total energy   -25.63 eV/f.u.
# ρ   11.4 g cm⁻³
# Spin magnetization   0.3151 μB per atom

***

[13]
# PBE LaZrAs, relaxed
data_LaZrAs
_chemical_formula_sum 'La4 Zr4 As4'
_space_group_name_H-M_alt 'F -4 3 m'
_space_group_IT_number 216
_space_group_name_Hall 'F -4 2 3'
_cell_length_a 7.1792
_cell_length_b 7.1792
_cell_length_c 7.1792
_cell_angle_alpha 90.00
_cell_angle_beta 90.00
_cell_angle_gamma 90.00
loop_
_atom_site_label
_atom_site_fract_x
_atom_site_fract_y
_atom_site_fract_z
La1 0.0000 0.0000 0.0000
Zr1 0.2500 0.2500 0.2500
As1 0.2500 0.2500 0.7500
# ρ   5.5 g cm⁻³
# Distance to the lowest polymorph of the same formula   1.26 eV per formula unit
# Spin magnetization   1.2878 μB per atom

***

[14]
# PBE Zr2GaNi, relaxed
data_Zr2GaNi
_chemical_formula_sum 'Zr8 Ga4 Ni4'
_space_group_name_H-M_alt 'A m m 2'
_space_group_IT_number 38
_cell_length_a 4.1701
_cell_length_b 7.2091
_cell_length_c 9.4291
_cell_angle_alpha 90.00
_cell_angle_beta 90.00
_cell_angle_gamma 90.00
loop_
_space_group_symop_operation_xyz
'x,y,z'
'-x,-y,z'
'-x,y,z'
'x,-y,z'
'x,y+1/2,z+1/2'
'-x,-y+1/2,z+1/2'
'-x,y+1/2,z+1/2'
'x,-y+1/2,z+1/2'
loop_
_atom_site_label
_atom_site_fract_x
_atom_site_fract_y
_atom_site_fract_z
Zr1 0.0000 0.0000 0.0000
Zr2 0.0000 0.2129 0.2654
Zr3 0.5000 0.0000 0.7740
Ga1 0.5000 0.2031 0.5041
Ni1 0.0000 0.0000 0.5532
Ni2 0.5000 0.0000 0.1967
# Electronic total energy   -26.78 eV/f.u.
# ρ   7.3 g cm⁻³
# Spin magnetization   0.0001 μB per atom

***

[15]
# PBE GdTmMg2Cu4, relaxed
data_GdTmMg2Cu4
_chemical_formula_sum 'Gd1 Tm1 Mg2 Cu4'
_space_group_name_H-M_alt 'P 4/m m m'
_space_group_IT_number 123
_space_group_name_Hall '-P 4 2'
_cell_length_a 4.6728
_cell_length_b 4.6728
_cell_length_c 6.6199
_cell_angle_alpha 90.00
_cell_angle_beta 90.00
_cell_angle_gamma 90.00
loop_
_atom_site_label
_atom_site_fract_x
_atom_site_fract_y
_atom_site_fract_z
Gd1 0.0000 0.0000 0.0000
Tm1 0.5000 0.5000 0.5000
Mg1 0.0000 0.0000 0.5000
Mg2 0.5000 0.5000 0.0000
Cu1 0.0000 0.5000 0.2565
# Electronic total energy   -28.73 eV/f.u.
# ρ   7.2 g cm⁻³
# Spin magnetization   0.0001 μB per atom

***

[16]
# PBE SrDySi2, relaxed
data_SrDySi2
_chemical_formula_sum 'Sr4 Dy4 Si8'
_space_group_name_H-M_alt 'C m c m'
_space_group_IT_number 63
_space_group_name_Hall '-C 2c 2'
_cell_length_a 6.0822
_cell_length_b 17.7080
_cell_length_c 4.1775
_cell_angle_alpha 90.00
_cell_angle_beta 90.00
_cell_angle_gamma 90.00
loop_
_atom_site_label
_atom_site_fract_x
_atom_site_fract_y
_atom_site_fract_z
Sr1 0.0000 0.1813 0.2500
Dy1 0.0000 0.4225 0.2500
Si1 0.0000 0.0348 0.7500
Si2 0.0000 0.3216 0.7500
# Electronic total energy   -17.74 eV/f.u.
# ρ   4.5 g cm⁻³
# Spin magnetization   0.0009 μB per atom

***

[17]
# PBE PrNd2Mg3AgHg2, relaxed
data_PrNd2Mg3AgHg2
_chemical_formula_sum 'Pr2 Nd4 Mg6 Ag2 Hg4'
_space_group_name_H-M_alt 'A m m 2'
_space_group_IT_number 38
_cell_length_a 4.2819
_cell_length_b 13.8115
_cell_length_c 7.9764
_cell_angle_alpha 90.00
_cell_angle_beta 90.00
_cell_angle_gamma 90.00
loop_
_space_group_symop_operation_xyz
'x,y,z'
'-x,-y,z'
'-x,y,z'
'x,-y,z'
'x,y+1/2,z+1/2'
'-x,-y+1/2,z+1/2'
'-x,y+1/2,z+1/2'
'x,-y+1/2,z+1/2'
loop_
_atom_site_label
_atom_site_fract_x
_atom_site_fract_y
_atom_site_fract_z
Pr1 0.0000 0.0000 0.0000
Nd1 0.0000 0.2048 0.3855
Mg1 0.5000 0.0000 0.3498
Mg2 0.5000 0.1206 0.7103
Ag1 0.0000 0.0000 0.5894
Hg1 0.5000 0.1677 0.0909
# Electronic total energy   -25.59 eV/f.u.
# ρ   7.1 g cm⁻³
# Spin magnetization   0.0025 μB per atom

***

[18]
# PBE PmDyMgIn, relaxed
data_PmDyMgIn
_chemical_formula_sum 'Pm4 Dy4 Mg4 In4'
_space_group_name_H-M_alt 'F -4 3 m'
_space_group_IT_number 216
_space_group_name_Hall 'F -4 2 3'
_cell_length_a 7.5961
_cell_length_b 7.5961
_cell_length_c 7.5961
_cell_angle_alpha 90.00
_cell_angle_beta 90.00
_cell_angle_gamma 90.00
loop_
_atom_site_label
_atom_site_fract_x
_atom_site_fract_y
_atom_site_fract_z
Pm1 0.0000 0.0000 0.0000
Dy1 0.0000 0.0000 0.5000
Mg1 0.2500 0.2500 0.2500
In1 0.2500 0.2500 0.7500
# Electronic total energy   -14.95 eV/f.u.
# ρ   6.8 g cm⁻³
# Spin magnetization   0.0000 μB per atom

***

[19]
# PBE Be2ZnPt3, relaxed
data_Be2ZnPt3
_chemical_formula_sum 'Be2 Zn1 Pt3'
_space_group_name_H-M_alt 'P 4/m m m'
_space_group_IT_number 123
_space_group_name_Hall '-P 4 2'
_cell_length_a 2.8016
_cell_length_b 2.8016
_cell_length_c 9.6112
_cell_angle_alpha 90.00
_cell_angle_beta 90.00
_cell_angle_gamma 90.00
loop_
_atom_site_label
_atom_site_fract_x
_atom_site_fract_y
_atom_site_fract_z
Be1 0.0000 0.0000 0.1558
Zn1 0.0000 0.0000 0.5000
Pt1 0.5000 0.5000 0.0000
Pt2 0.5000 0.5000 0.3020
# Electronic total energy   -31.17 eV/f.u.
# ρ   14.7 g cm⁻³
# Spin magnetization   0.0002 μB per atom

***

[20]
# PBE Cu7Ag3, relaxed
data_Cu7Ag3
_chemical_formula_sum 'Cu14 Ag6'
_space_group_name_H-M_alt 'A m m 2'
_space_group_IT_number 38
_cell_length_a 3.8530
_cell_length_b 3.8515
_cell_length_c 18.4140
_cell_angle_alpha 90.00
_cell_angle_beta 90.00
_cell_angle_gamma 90.00
loop_
_space_group_symop_operation_xyz
'x,y,z'
'-x,-y,z'
'-x,y,z'
'x,-y,z'
'x,y+1/2,z+1/2'
'-x,-y+1/2,z+1/2'
'-x,y+1/2,z+1/2'
'x,-y+1/2,z+1/2'
loop_
_atom_site_label
_atom_site_fract_x
_atom_site_fract_y
_atom_site_fract_z
Cu1 0.0000 0.0000 0.0000
Cu2 0.0000 0.0000 0.1770
Cu3 0.0000 0.0000 0.4030
Cu4 0.0000 0.0000 0.5886
Cu5 0.5000 0.0000 0.0886
Cu6 0.5000 0.0000 0.5000
Cu7 0.5000 0.0000 0.6773
Ag1 0.0000 0.0000 0.7842
Ag2 0.5000 0.0000 0.2841
Ag3 0.5000 0.0000 0.8999
# ρ   9.3 g cm⁻³
# Distance to the lowest polymorph of the same formula   0.22 eV per formula unit